A plane-wave DFT calculation with PBE-GGA was carried out for CuSO4 after structural relaxation.

```
24
Lattice="8.489 0.000 0.000 0.000 6.755 0.000 0.000 0.000 4.954" Properties=species:S:1:pos:R:3 pbc="T T T"
Cu 0.000 0.000 0.000
Cu 0.000 3.378 0.000
Cu 4.244 0.000 2.477
Cu 4.244 3.378 2.477
S 1.547 1.689 2.216
S 2.697 5.066 4.692
S 5.792 1.689 0.261
S 6.941 5.066 2.738
O 1.115 0.447 1.531
O 1.113 1.689 3.614
O 1.115 2.930 1.531
O 1.154 5.066 4.605
O 3.090 1.689 2.128
O 3.130 3.825 4.008
O 3.132 5.066 1.137
O 3.130 6.308 4.008
O 5.359 0.447 0.946
O 5.357 1.689 3.817
O 5.359 2.930 0.946
O 5.398 5.066 2.826
O 7.335 1.689 0.349
O 7.374 3.825 3.423
O 7.376 5.066 1.340
O 7.374 6.308 3.423
```

Values from the calculation:
Uncorrected formation energy = -1.035 eV/atom
Total DFT energy (no corrections) = -5.711 eV/atom

---

A plane-wave DFT calculation with PBE-GGA was carried out for CuSO7 after structural relaxation.

```
18
Lattice="2.577 -8.349 0.000 2.577 8.349 0.000 -1.904 0.000 6.373" Properties=species:S:1:pos:R:3 pbc="T T T"
Cu 1.625 8.318 3.186
Cu 2.577 -8.318 0.000
S 1.574 1.557 4.246
S 2.526 -1.557 1.060
O 1.171 7.645 4.813
O 1.163 3.279 0.598
O 0.752 2.746 4.186
O 2.238 3.538 1.094
O 0.787 0.282 3.967
O 1.739 -0.282 0.780
O 0.211 -3.279 3.785
O 1.704 -2.746 0.999
O 2.730 1.602 3.325
O 2.065 1.405 5.681
O 1.286 -3.538 4.280
O 3.017 -1.405 2.494
O 3.682 -1.602 0.138
O 2.123 -7.645 1.627
```

Values from the calculation:
Uncorrected formation energy = -0.526 eV/atom
Total DFT energy (no corrections) = -5.296 eV/atom

---

A plane-wave DFT calculation with PBE-GGA was carried out for CuS4O after structural relaxation.

```
12
Lattice="5.568 0.000 0.000 0.191 6.571 0.000 1.971 0.181 8.106" Properties=species:S:1:pos:R:3 pbc="T T T"
Cu 1.512 1.949 2.640
Cu 6.217 4.803 5.466
S 1.433 4.115 2.260
S 2.286 1.997 4.786
S 2.636 5.939 5.236
S 3.486 5.632 6.987
S 4.243 1.119 1.119
S 5.093 0.813 2.869
S 5.443 4.755 3.319
S 6.297 2.637 5.846
O 2.715 1.161 1.230
O 5.015 5.590 6.875
```

Values from the calculation:
Uncorrected formation energy = -0.140 eV/atom
Total DFT energy (no corrections) = -4.401 eV/atom